# LiPuNi2O6

A relaxed LiPuNi2O6 crystal (GGA+U, the Alexandria database).

Values from the calculation:
- Volume: 141.7 Å³ per cell
- E: -6.348 eV/atom
- Spin magnetization: 6.856 Bohr magnetons per cell

a b c (Å): 5.844 5.844 4.148
angles (deg): 90.00 90.00 90.00
Positions (direct):
Li  0.000  0.000  0.000
Pu  0.500  0.500  0.000
Ni  0.000  0.500  0.003
Ni  0.500  0.000  0.003
O  0.000  0.000  0.500
O  0.254  0.254  0.001
O  0.254  0.746  0.001
O  0.500  0.500  0.500
O  0.746  0.254  0.001
O  0.746  0.746  0.001